No. 1
The following is a DFT calculation (PBE) of a geometry-optimized Li2IrPd structure.

Lattice parameters (Å, degrees): 6.059 6.059 6.059 90.00 90.00 90.00
Space group F-43m (No. 216)
Asymmetric unit:
Li1 0.000 0.000 0.000 x4
Li2 0.250 0.250 0.250 x4
Ir1 0.250 0.250 0.750 x4
Pd1 0.000 0.000 0.500 x4

Values from the calculation:
calculated total energy = -4.490 eV/atom
total magnetic moment = 1.02 μB/f.u.

---

No. 2
The following is a DFT calculation (PBE) of a geometry-optimized Li3Ir2Pd structure.

Lattice parameters (Å, degrees): 2.6908 2.6908 12.8346 90.00 90.00 120.00
Space group P-3m1 (No. 164)
Asymmetric unit:
Li1 0.0000 0.0000 0.0000 x1
Li2 0.3333 0.6667 0.6658 x2
Ir1 0.3333 0.6667 0.1689 x2
Pd1 0.0000 0.0000 0.5000 x1

Values from the calculation:
calculated total energy = -5.064 eV/atom
total magnetic moment = 0.00 μB/f.u.

---

No. 3
The following is a DFT calculation (PBE) of a geometry-optimized Li2Sc2Si2IrPd structure.

Lattice parameters (Å, degrees): 4.373 4.373 6.183 90.00 90.00 90.00
Space group P-4m2 (No. 115)
Asymmetric unit:
Li1 0.000 0.000 0.000 x1
Li2 0.500 0.500 0.500 x1
Sc1 0.000 0.500 0.249 x2
Si1 0.000 0.500 0.738 x2
Ir1 0.000 0.000 0.500 x1
Pd1 0.500 0.500 0.000 x1

Values from the calculation:
calculated total energy = -5.923 eV/atom
total magnetic moment = 0.00 μB/f.u.

---

- calculated total energy of number 3 (Li2Sc2Si2IrPd)?
  -5.923 eV/atom

---

- Among the records above, which one has the lowest calculated total energy?
  Li2Sc2Si2IrPd